{"formula": "Nd2DyCuSe5", "functional": "PBE", "state": "relaxed", "lattice": [[-2.4258, -2.3294, 2.3007], [1.7411, -5.3241, -7.1632], [9.7468, -4.5041, 5.7167]], "species": ["Nd", "Nd", "Nd", "Nd", "Se", "Se", "Se", "Se", "Se", "Se", "Se", "Se", "Se", "Se", "Dy", "Dy", "Cu", "Cu"], "fractional_positions": [[0.1088, 0.2176, 0.6862], [0.8912, 0.7824, 0.1862], [0.8778, 0.7556, 0.8096], [0.1222, 0.2444, 0.3096], [0.4992, 0.9985, 0.7803], [0.5008, 0.0015, 0.2803], [0.6433, 0.2867, 0.5012], [0.6872, 0.3745, 0.8461], [0.0426, 0.0853, 0.0614], [0.3567, 0.7133, 0.0012], [0.3128, 0.6255, 0.3461], [0.2881, 0.5761, 0.6741], [0.9574, 0.9147, 0.5614], [0.7119, 0.4239, 0.1741], [0.8066, 0.6131, 0.5105], [0.1934, 0.3869, 0.0105], [0.4355, 0.8710, 0.4546], [0.5645, 0.1290, 0.9546]], "space_group": "Cmc2_1, No. 36", "final_energy_ev_per_atom": -5.556, "n_ef_per_ev_cell": 0.067, "e_form_raw_ev_per_atom": -1.594, "vol_a3_per_fu": 219.6}